# 1
Material: Ce3Zr2PaN6
Method: DFT, PBE-GGA
State: relaxed

Cell: 5.928 5.928 6.056 Å, 99.40 99.40 119.99°
Element x y z (fractional)
1 Ce 0.168 0.832 0.500
2 Ce 0.832 0.168 0.500
3 Ce 0.500 0.500 0.500
4 Zr 0.333 0.667 0.000
5 Zr 0.667 0.333 0.000
6 Pa 0.000 0.000 0.000
7 N 0.926 0.589 0.778
8 N 0.737 0.737 0.221
9 N 0.074 0.411 0.222
10 N 0.589 0.926 0.778
11 N 0.263 0.263 0.779
12 N 0.411 0.074 0.222

The calculation puts the formation energy from raw total energies at -1642 meV per atom. As for the space group: C2/m (12).

# 2
Material: MgZnMo2
Method: DFT, PBE-GGA
State: relaxed

Cell: 2.688 4.443 5.350 Å, 90.00 90.00 90.00°
Element x y z (fractional)
1 Mg 0.500 0.500 0.750
2 Mo 0.000 0.000 0.999
3 Mo 0.000 0.000 0.501
4 Zn 0.500 0.500 0.250

For the distance to the lowest polymorph of the same formula, the calculation gives 0.1216 eV/atom. For the formation enthalpy at 0 K, the calculation gives 0.25 eV per atom. As for the space group: Pmmm (47).

# 3
Material: LiBeSb2
Method: DFT, PBE-GGA
State: relaxed

Cell: 3.998 3.406 6.408 Å, 89.71 90.00 90.00°
Element x y z (fractional)
1 Be 0.500 0.250 0.250
2 Li 0.500 0.750 0.750
3 Sb 0.000 0.248 0.004
4 Sb 0.000 0.252 0.496

The calculation puts the formation energy from raw total energies at 86 meV per atom. As for the space group: P2/m (10).

# 4
Material: Te2AsF
Method: DFT, PBE-GGA
State: relaxed

Cell: 5.300 7.669 10.622 Å, 95.44 90.00 90.00°
Element x y z (fractional)
1 Te 0.831 0.936 0.899
2 Te 0.169 0.064 0.101
3 Te 0.331 0.564 0.601
4 Te 0.669 0.436 0.399
5 Te 0.816 0.436 0.099
6 Te 0.184 0.564 0.901
7 Te 0.316 0.064 0.401
8 Te 0.684 0.936 0.599
9 As 0.034 0.248 0.581
10 As 0.966 0.752 0.419
11 As 0.534 0.252 0.919
12 As 0.466 0.748 0.081
13 F 0.277 0.659 0.213
14 F 0.723 0.341 0.787
15 F 0.777 0.841 0.287
16 F 0.223 0.159 0.713

For the distance to the lowest polymorph of the same formula, the calculation gives 0.0000 eV/atom. The calculation puts the formation energy from raw total energies at -548 meV per atom. As for the space group: P2_1/c (14).

# 5
Material: PrDy5HoSc2
Method: DFT, PBE-GGA
State: relaxed

Cell: 5.602 11.134 9.325 Å, 90.00 90.00 104.57°
Element x y z (fractional)
1 Pr 0.816 0.631 0.518
2 Pr 0.184 0.369 0.018
3 Dy 0.393 0.785 0.047
4 Dy 0.734 0.468 0.833
5 Dy 0.468 0.936 0.748
6 Dy 0.308 0.615 0.719
7 Dy 0.991 0.983 0.516
8 Dy 0.607 0.215 0.547
9 Dy 0.266 0.532 0.333
10 Dy 0.532 0.064 0.248
11 Dy 0.692 0.385 0.219
12 Dy 0.009 0.017 0.016
13 Ho 0.597 0.193 0.919
14 Ho 0.403 0.807 0.419
15 Sc 0.887 0.773 0.826
16 Sc 0.138 0.276 0.698
17 Sc 0.113 0.227 0.326
18 Sc 0.862 0.724 0.198

For the formation enthalpy at 0 K, the calculation gives 0.17 eV per atom. As for the space group: Cmc2_1 (36).

# 6
Material: Pm3Dy5Sn2
Method: DFT, PBE-GGA
State: relaxed

Cell: 6.413 10.604 10.604 Å, 94.92 72.40 72.40°
Element x y z (fractional)
1 Pm 0.250 0.000 0.000
2 Pm 0.750 0.000 0.000
3 Pm 0.373 0.349 0.905
4 Pm 0.627 0.651 0.095
5 Pm 0.873 0.905 0.349
6 Pm 0.127 0.095 0.651
7 Dy 0.250 0.500 0.500
8 Dy 0.750 0.500 0.500
9 Dy 0.503 0.747 0.747
10 Dy 0.997 0.253 0.253
11 Dy 0.497 0.253 0.253
12 Dy 0.003 0.747 0.747
13 Dy 0.100 0.565 0.236
14 Dy 0.900 0.435 0.764
15 Dy 0.600 0.236 0.565
16 Dy 0.400 0.764 0.435
17 Sn 0.141 0.712 0.007
18 Sn 0.859 0.288 0.993
19 Sn 0.641 0.007 0.712
20 Sn 0.359 0.993 0.288

For the formation enthalpy at 0 K, the calculation gives -0.08 eV per atom. As for the space group: Ibam (72).

# 7
Material: LiTe2F
Method: DFT, PBE-GGA
State: relaxed

Cell: 9.399 9.399 9.399 Å, 20.37 20.37 20.37°
Element x y z (fractional)
1 Te 0.916 0.916 0.916
2 Te 0.084 0.084 0.084
3 Li 0.500 0.500 0.500
4 F 0.000 0.000 0.000

For the distance to the lowest polymorph of the same formula, the calculation gives 0.2232 eV/atom. The calculation puts the formation energy from raw total energies at -551 meV per atom. As for the space group: R-3m (166).

# 8
Material: LaHoLuSc
Method: DFT, PBE-GGA
State: relaxed

Cell: 5.573 5.573 5.573 Å, 60.00 60.00 60.00°
Element x y z (fractional)
1 Sc 0.000 0.000 0.000
2 Lu 0.500 0.500 0.500
3 Ho 0.250 0.250 0.250
4 La 0.750 0.750 0.750

For the formation enthalpy at 0 K, the calculation gives 0.08 eV per atom. As for the space group: F-43m (216).

# 9
Material: Na3Ga4Hg2
Method: DFT, PBE-GGA
State: relaxed

Cell: 4.684 5.956 9.116 Å, 70.37 75.55 66.94°
Element x y z (fractional)
1 Na 0.615 0.128 0.637
2 Na 0.000 0.000 0.000
3 Na 0.385 0.872 0.363
4 Ga 0.294 0.354 0.058
5 Ga 0.923 0.505 0.644
6 Ga 0.077 0.495 0.356
7 Ga 0.706 0.646 0.942
8 Hg 0.714 0.306 0.269
9 Hg 0.286 0.694 0.731

For the distance to the lowest polymorph of the same formula, the calculation gives 0.0795 eV/atom. For the formation enthalpy at 0 K, the calculation gives -0.08 eV per atom. As for the space group: P-1 (2).

# 10
Material: CrNi2H
Method: DFT, PBE-GGA
State: relaxed

Cell: 2.428 2.428 6.112 Å, 90.00 90.00 90.00°
Element x y z (fractional)
1 Ni 0.000 0.000 0.803
2 Ni 0.000 0.000 0.197
3 H 0.500 0.500 0.000
4 Cr 0.500 0.500 0.500

For the distance to the lowest polymorph of the same formula, the calculation gives 0.1365 eV/atom. As for the space group: P4/mmm (123).

# 11
Material: ZnTe2
Method: DFT, PBE-GGA
State: relaxed

Cell: 7.952 7.952 4.998 Å, 88.74 88.74 123.49°
Element x y z (fractional)
1 Zn 0.000 0.000 0.000
2 Zn 0.748 0.252 0.500
3 Zn 0.252 0.748 0.500
4 Te 0.589 0.910 0.797
5 Te 0.262 0.262 0.641
6 Te 0.910 0.589 0.797
7 Te 0.090 0.411 0.203
8 Te 0.738 0.738 0.359
9 Te 0.411 0.090 0.203

The calculation puts the formation energy from raw total energies at -116 meV per atom. As for the space group: C2/m (12).

# 12
Material: Hf2InTeN
Method: DFT, PBE-GGA
State: relaxed

Cell: 5.418 4.037 5.418 Å, 90.00 90.00 90.00°
Element x y z (fractional)
1 N 0.000 0.500 0.000
2 Te 0.000 0.000 0.000
3 Hf 0.000 0.000 0.500
4 Hf 0.500 0.000 0.000
5 In 0.500 0.500 0.500

The calculation puts the formation energy from raw total energies at 986 meV per atom. As for the space group: P4/mmm (123).

no.,total magnetic moment (μB per formula unit),final energy (eV per atom)
1,0.00,-9.50
2,0.00,-5.88
3,0.00,-3.39
4,0.00,-3.75
5,0.00,-4.83
6,0.00,-4.61
7,0.00,-3.07
8,0.00,-5.01
9,0.00,-1.93
10,0.00,-5.96
11,0.00,-2.64
12,0.00,-5.84